## Y2HfN (PBE)

Data for a relaxed Y2HfN crystal.

Cell and atoms, written as POSCAR:
```
Y2HfN
1.0
-3.633 3.633 3.610
3.633 -3.633 3.610
3.633 3.633 -3.610
Y Hf N
4 2 2
Cartesian
1.816 0.981 -0.902
2.651 -1.816 4.512
1.816 2.651 2.707
0.981 5.449 0.902
3.633 0.000 1.805
0.000 0.000 3.610
0.000 0.000 0.000
0.000 3.633 1.805
```

Calculated values
* calculated total energy: -7.889 eV per atom
* formation energy from raw total energies: -0.09 eV per atom